Here is an optimized crystal structure of CuGeRuCl2 from Alexandria via LeMat-Bulk. Energies are from PBE.

Calculated values
Magnetization   1.99 μB per cell
Density   4838 kg/m3
Formation energy from raw total energies   0.74 eV/atom

Cell lengths 4.3974, 4.3974, 5.4699 Å; angles 90.00, 90.00, 90.00 degrees
Space group P4/mmm (No. 123)
Asymmetric unit:
1 Cu 0.0000 0.0000 0.0000
2 Ge 0.5000 0.5000 0.5000
3 Ru 0.0000 0.0000 0.5000
4 Cl 0.0000 0.5000 0.0000